# BaMnO3 (PBE with a Hubbard U, optimized geometry)
data_BaMnO3
_chemical_formula_sum 'Ba6 Mn6 O18'
_cell_length_a 10.052
_cell_length_b 10.052
_cell_length_c 5.044
_cell_angle_alpha 90.00
_cell_angle_beta 90.00
_cell_angle_gamma 120.00
_space_group_name_H-M_alt 'P 1'
_space_group_IT_number 1
_space_group_name_Hall 'P 1'
loop_
_atom_site_label
_atom_site_fract_x
_atom_site_fract_y
_atom_site_fract_z
Ba1 0.000 0.334 0.000
Ba2 0.000 0.666 0.500
Ba3 0.334 0.000 0.000
Ba4 0.334 0.334 0.500
Ba5 0.666 0.000 0.500
Ba6 0.666 0.666 0.000
Mn1 0.000 0.000 0.339
Mn2 0.000 0.000 0.839
Mn3 0.333 0.667 0.172
Mn4 0.333 0.667 0.672
Mn5 0.667 0.333 0.172
Mn6 0.667 0.333 0.672
O1 0.000 0.147 0.592
O2 0.000 0.853 0.092
O3 0.147 0.000 0.592
O4 0.147 0.147 0.092
O5 0.186 0.519 0.419
O6 0.186 0.667 0.919
O7 0.333 0.519 0.919
O8 0.333 0.814 0.419
O9 0.481 0.667 0.419
O10 0.481 0.814 0.919
O11 0.519 0.186 0.419
O12 0.519 0.333 0.919
O13 0.667 0.186 0.919
O14 0.667 0.481 0.419
O15 0.814 0.333 0.419
O16 0.814 0.481 0.919
O17 0.853 0.000 0.092
O18 0.853 0.853 0.592
# * space group: P6_3cm, No. 185
# * crystal system: hexagonal
# * raw total energy: -6.90 eV/atom